BiCBr3, single point on PBEsol structure, DFT meta-GGA SCAN; calculated volume = 21.1 Å³ per atom; space group = Pm-3m (221); ΔE_f (raw) = 1.01 eV/atom
1.0
-4.046 -2.166 -1.116
2.401 -3.911 -1.114
-0.413 -1.522 4.452
Br Bi C
3 1 1
direct
0.500 0.000 0.000
0.000 0.500 0.000
0.000 0.000 0.500
0.500 0.500 0.500
0.000 0.000 0.000